(1)
Here is DyTm2Mg2 after structural relaxation from Alexandria via LeMat-Bulk. Energies are from GGA-PBE.

## Properties
ΔH_f (0 K): 0.278 eV per atom
DOS(E_F): 13.35 states/eV per cell
Crystal system: tetragonal
Final energy: -3.068 eV/atom
ΔE to the lowest computed polymorph: 1.68 eV per formula unit

Cell lengths 4.248, 4.248, 16.736 Å; angles 97.29, 97.29, 90.00 degrees
Element x y z (fractional)
Dy 0.628 0.628 0.255
Dy 0.372 0.372 0.745
Tm 0.750 0.250 0.500
Tm 0.924 0.924 0.849
Tm 0.076 0.076 0.151
Tm 0.250 0.750 0.500
Mg 0.000 0.500 0.000
Mg 0.174 0.174 0.349
Mg 0.500 0.000 0.000
Mg 0.826 0.826 0.651

---

(2)
Here is SmDyYTm after structural relaxation from Alexandria via LeMat-Bulk. Energies are from GGA-PBE.

## Properties
ΔH_f (0 K): 0.127 eV per atom
DOS(E_F): 8.39 states/eV per cell
Crystal system: cubic
Final energy: -4.937 eV/atom
ΔE to the lowest computed polymorph: 0.42 eV per formula unit

Cell lengths 5.676, 5.676, 5.676 Å; angles 60.00, 60.00, 60.00 degrees
Element x y z (fractional)
Y 0.250 0.250 0.250
Tm 0.750 0.750 0.750
Sm 0.500 0.500 0.500
Dy 0.000 0.000 0.000